(1)
DFT (GGA-PBE) results for Pr2ErBi3 after structural relaxation.

The structure in POSCAR format:
```
Pr2ErBi3
1.0
4.5465 0.0000 0.0000
-2.2733 3.9374 0.0000
0.0000 0.0000 11.1581
Pr Er Bi
2 1 3
Direct
0.3333 0.6667 0.3278
0.6667 0.3333 0.6722
0.0000 0.0000 0.0000
0.0000 0.0000 0.5000
0.3333 0.6667 0.8451
0.6667 0.3333 0.1549
```

Output
Total moment (μB/atom): 0.001
Crystal system: trigonal

***

(2)
DFT (GGA-PBE) results for PrErBi after structural relaxation.

The structure in POSCAR format:
```
PrErBi
1.0
4.6128 0.0000 0.0000
0.0000 4.6128 0.0000
0.0000 0.0000 8.8499
Pr Er Bi
2 2 2
Direct
0.2500 0.2500 0.1507
0.7500 0.7500 0.8493
0.2500 0.7500 0.5000
0.7500 0.2500 0.5000
0.2500 0.2500 0.7713
0.7500 0.7500 0.2287
```

Output
Total moment (μB/atom): 0.002
Crystal system: tetragonal

***

(3)
DFT (GGA-PBE) results for RbErBi after structural relaxation.

The structure in POSCAR format:
```
RbErBi
1.0
0.0000 3.8708 3.8708
3.8708 0.0000 3.8708
3.8708 3.8708 0.0000
Rb Er Bi
1 1 1
Direct
0.0000 0.0000 0.0000
0.7500 0.7500 0.7500
0.5000 0.5000 0.5000
```

Output
Total moment (μB/atom): 0.140
Crystal system: cubic

***

(4)
DFT (GGA-PBE) results for Er3BiS2 after structural relaxation.

The structure in POSCAR format:
```
Er3BiS2
1.0
4.0461 0.0000 0.0000
-2.0230 3.5040 0.0000
0.0000 0.0000 9.9478
Er Bi S
3 1 2
Direct
0.0000 0.0000 0.0000
0.3333 0.6667 0.7031
0.6667 0.3333 0.2969
0.0000 0.0000 0.5000
0.3333 0.6667 0.1509
0.6667 0.3333 0.8491
```

Output
Total moment (μB/atom): 0.001
Crystal system: trigonal

***

(5)
DFT (GGA-PBE) results for Er3Bi2S after structural relaxation.

The structure in POSCAR format:
```
Er3Bi2S
1.0
4.2385 0.0000 0.0000
-2.1192 3.6706 0.0000
0.0000 0.0000 10.4724
Er Bi S
3 2 1
Direct
0.0000 0.0000 0.0000
0.3333 0.6667 0.6378
0.6667 0.3333 0.3622
0.3333 0.6667 0.1805
0.6667 0.3333 0.8195
0.0000 0.0000 0.5000
```

Output
Total moment (μB/atom): 0.001
Crystal system: trigonal

***

(6)
DFT (GGA-PBE) results for Er3BiSb2 after structural relaxation.

The structure in POSCAR format:
```
Er3BiSb2
1.0
4.3752 0.0000 0.0000
-2.1876 3.7890 0.0000
0.0000 0.0000 10.7429
Er Bi Sb
3 1 2
Direct
0.0000 0.0000 0.0000
0.3333 0.6667 0.6719
0.6667 0.3333 0.3281
0.0000 0.0000 0.5000
0.3333 0.6667 0.1649
0.6667 0.3333 0.8351
```

Output
Total moment (μB/atom): 0.000
Crystal system: trigonal

***

Looking at DFT total energy for the records above, in order, we have -5.30; -5.12; -3.01; -5.85; -5.46; -5.34 eV per atom.